Version a
Pm8Nd6Sm | PBE-GGA | optimized geometry

Cell lengths 6.6944, 9.5792, 9.5792 Å; angles 120.00, 90.00, 90.00 degrees
Last column: nearest neighbours and their distance in Å.
Sites, in units of the cell vectors:
Pm (0.8371, 0.0285, 0.2816)  4 Nd 3.34-3.61, 3 Pm 3.37-3.39, 1 Sm 3.42
Pm (0.8371, 0.7184, 0.7469)  4 Nd 3.34-3.61, 3 Pm 3.37-3.39, 1 Sm 3.42
Pm (0.8371, 0.2531, 0.9715)  4 Nd 3.34-3.61, 3 Pm 3.37-3.39, 1 Sm 3.42
Pm (0.1629, 0.9715, 0.7184)  4 Nd 3.34-3.61, 3 Pm 3.37-3.39, 1 Sm 3.42
Pm (0.1629, 0.2816, 0.2531)  4 Nd 3.34-3.61, 3 Pm 3.37-3.39, 1 Sm 3.42
Pm (0.1629, 0.7469, 0.0285)  4 Nd 3.34-3.61, 3 Pm 3.37-3.39, 1 Sm 3.42
Pm (0.8889, 0.3333, 0.6667)  3 Pm 3.39
Pm (0.1111, 0.6667, 0.3333)  3 Pm 3.39
Nd (0.6610, 0.6518, 0.0845)  1 Nd 3.32, 4 Pm 3.34-3.61
Nd (0.6610, 0.9155, 0.5672)  1 Nd 3.32, 4 Pm 3.34-3.61
Nd (0.6610, 0.4328, 0.3482)  1 Nd 3.32, 4 Pm 3.34-3.61
Nd (0.3390, 0.3482, 0.9155)  1 Nd 3.32, 4 Pm 3.34-3.61
Nd (0.3390, 0.0845, 0.4328)  1 Nd 3.32, 4 Pm 3.34-3.61
Nd (0.3390, 0.5672, 0.6518)  1 Nd 3.32, 4 Pm 3.34-3.61
Sm (0.5000, 0.0000, 0.0000)  6 Pm 3.42

Version b
Pm8Nd6Sm | PBE-GGA | optimized geometry

Cell lengths 9.4372, 9.4372, 8.7341 Å; angles 57.30, 57.30, 60.00 degrees
Last column: nearest neighbours and their distance in Å.
Sites, in units of the cell vectors:
Pm (0.3369, 0.2304, 0.5178)  6 Pm 3.48-3.82, 3 Nd 3.49-3.78, 1 Sm 3.89
Pm (0.7696, 0.0851, 0.4822)  6 Pm 3.48-3.82, 3 Nd 3.49-3.78, 1 Sm 3.89
Pm (0.0851, 0.6631, 0.4822)  6 Pm 3.48-3.82, 3 Nd 3.49-3.78, 1 Sm 3.89
Pm (0.5716, 0.5716, 0.2853)  1 Pm 2.93, 3 Nd 3.27
Pm (0.4284, 0.4284, 0.7147)  1 Pm 2.93, 3 Nd 3.27
Pm (0.9149, 0.3369, 0.5178)  6 Pm 3.48-3.82, 3 Nd 3.49-3.78, 1 Sm 3.89
Pm (0.2304, 0.9149, 0.5178)  6 Pm 3.48-3.82, 3 Nd 3.49-3.78, 1 Sm 3.89
Pm (0.6631, 0.7696, 0.4822)  6 Pm 3.48-3.82, 3 Nd 3.49-3.78, 1 Sm 3.89
Nd (0.4453, 0.8924, 0.9229)  3 Pm 3.27-3.57, 1 Sm 3.54, 2 Nd 3.66
Nd (0.1076, 0.2606, 0.0771)  3 Pm 3.27-3.57, 1 Sm 3.54, 2 Nd 3.66
Nd (0.2606, 0.5547, 0.0771)  3 Pm 3.27-3.57, 1 Sm 3.54, 2 Nd 3.66
Nd (0.7394, 0.4453, 0.9229)  3 Pm 3.27-3.57, 1 Sm 3.54, 2 Nd 3.66
Nd (0.8924, 0.7394, 0.9229)  3 Pm 3.27-3.57, 1 Sm 3.54, 2 Nd 3.66
Nd (0.5547, 0.1076, 0.0771)  3 Pm 3.27-3.57, 1 Sm 3.54, 2 Nd 3.66
Sm (0.0000, 0.0000, 0.0000)  6 Nd 3.54, 6 Pm 3.89

Most stable: version b

Version a
Pm3NdSm6 | PBE-GGA | optimized geometry

Cell lengths 6.4469, 11.1090, 11.1090 Å; angles 120.48, 90.00, 90.00 degrees
Last column: nearest neighbours and their distance in Å.
Sites, in units of the cell vectors:
Pm (0.4619, 0.9407, 0.7075)  1 Nd 3.30, 6 Sm 3.34-3.58, 1 Pm 3.66
Pm (0.9619, 0.7075, 0.9407)  1 Nd 3.30, 6 Sm 3.34-3.58, 1 Pm 3.66
Pm (0.0842, 0.3846, 0.6154)  7 Sm 3.48-3.83, 2 Pm 3.66, 1 Nd 3.74
Pm (0.5842, 0.6154, 0.3846)  7 Sm 3.48-3.83, 2 Pm 3.66, 1 Nd 3.74
Pm (0.9619, 0.0593, 0.2925)  1 Nd 3.30, 6 Sm 3.34-3.58, 1 Pm 3.66
Pm (0.4619, 0.2925, 0.0593)  1 Nd 3.30, 6 Sm 3.34-3.58, 1 Pm 3.66
Nd (0.1125, 0.1909, 0.8091)  2 Pm 3.30, 6 Sm 3.31-3.66
Nd (0.6125, 0.8091, 0.1909)  2 Pm 3.30, 6 Sm 3.31-3.66
Sm (0.0543, 0.7108, 0.6275)  4 Pm 3.45-3.83, 5 Sm 3.50-3.86
Sm (0.5543, 0.6275, 0.7108)  4 Pm 3.45-3.83, 5 Sm 3.50-3.86
Sm (0.3740, 0.5277, 0.9443)  3 Sm 3.16-3.52, 1 Nd 3.31, 2 Pm 3.34-3.49
Sm (0.8740, 0.9443, 0.5277)  3 Sm 3.16-3.52, 1 Nd 3.31, 2 Pm 3.34-3.49
Sm (0.3598, 0.9647, 0.0353)  1 Nd 3.41, 2 Sm 3.50, 4 Pm 3.58
Sm (0.6484, 0.2780, 0.7220)  4 Sm 3.16-3.52, 1 Nd 3.43, 1 Pm 3.48
Sm (0.1484, 0.7220, 0.2780)  4 Sm 3.16-3.52, 1 Nd 3.43, 1 Pm 3.48
Sm (0.8598, 0.0353, 0.9647)  1 Nd 3.41, 2 Sm 3.50, 4 Pm 3.58
Sm (0.3740, 0.0557, 0.4723)  3 Sm 3.16-3.52, 1 Nd 3.31, 2 Pm 3.34-3.49
Sm (0.8740, 0.4723, 0.0557)  3 Sm 3.16-3.52, 1 Nd 3.31, 2 Pm 3.34-3.49
Sm (0.0543, 0.3725, 0.2892)  4 Pm 3.45-3.83, 5 Sm 3.50-3.86
Sm (0.5543, 0.2892, 0.3725)  4 Pm 3.45-3.83, 5 Sm 3.50-3.86

Version b
Pm3NdSm6 | PBE-GGA | optimized geometry

Cell lengths 10.0434, 10.0434, 7.0201 Å; angles 44.33, 44.33, 60.00 degrees
Last column: nearest neighbours and their distance in Å.
Sites, in units of the cell vectors:
Pm (0.3995, 0.3995, 0.8016)  2 Pm 2.96, 3 Sm 3.27
Pm (0.6484, 0.6484, 0.0547)  1 Pm 2.96, 1 Nd 2.98
Pm (0.1502, 0.1502, 0.5494)  1 Pm 2.96, 1 Nd 2.98
Nd (0.8995, 0.8995, 0.3016)  2 Pm 2.98, 3 Sm 3.28
Sm (0.9005, 0.5739, 0.2988)  1 Nd 3.28, 2 Pm 3.52
Sm (0.2268, 0.9005, 0.2988)  1 Nd 3.28, 2 Pm 3.52
Sm (0.5739, 0.2268, 0.2988)  1 Nd 3.28, 2 Pm 3.52
Sm (0.0745, 0.4005, 0.7987)  3 Pm 3.27-3.53
Sm (0.7263, 0.0745, 0.7987)  3 Pm 3.27-3.53
Sm (0.4005, 0.7263, 0.7987)  3 Pm 3.27-3.53

Most stable: version a

Version a
PmNd4Sm6 | PBE-GGA | optimized geometry

Cell lengths 9.8360, 9.8360, 9.8360 Å; angles 58.01, 139.90, 139.90 degrees
Last column: nearest neighbours and their distance in Å.
Sites, in units of the cell vectors:
Pm (0.0000, 0.0000, 0.0000)  8 Sm 3.37-3.76, 4 Nd 3.54
Nd (0.0000, 0.6331, 0.0132)  5 Sm 3.41-3.68, 1 Pm 3.54, 1 Nd 3.63
Nd (0.3801, 0.3669, 0.3669)  5 Sm 3.41-3.68, 1 Pm 3.54, 1 Nd 3.63
Nd (0.0000, 0.0132, 0.6331)  5 Sm 3.41-3.68, 1 Pm 3.54, 1 Nd 3.63
Nd (0.6199, 0.9868, 0.9868)  5 Sm 3.41-3.68, 1 Pm 3.54, 1 Nd 3.63
Sm (0.0000, 0.8020, 0.4482)  3 Sm 3.29-3.38, 3 Nd 3.41-3.52
Sm (0.0000, 0.4482, 0.8020)  3 Sm 3.29-3.38, 3 Nd 3.41-3.52
Sm (0.3539, 0.5518, 0.5518)  3 Sm 3.29-3.38, 3 Nd 3.41-3.52
Sm (0.5000, 0.5000, 0.0000)  4 Sm 3.29, 2 Pm 3.37
Sm (0.6461, 0.1980, 0.1980)  3 Sm 3.29-3.38, 3 Nd 3.41-3.52
Sm (0.5000, 0.0000, 0.5000)  4 Sm 3.29, 2 Pm 3.37

Version b
PmNd4Sm6 | PBE-GGA | optimized geometry

Cell lengths 3.6369, 11.1035, 11.1035 Å; angles 120.00, 90.00, 90.00 degrees
Last column: nearest neighbours and their distance in Å.
Sites, in units of the cell vectors:
Pm (0.0000, 0.0000, 0.0000)  6 Nd 3.58, 2 Pm 3.64, 6 Sm 3.98
Nd (0.5000, 0.8397, 0.6793)  6 Sm 3.34-3.56, 2 Pm 3.58, 2 Nd 3.64
Nd (0.5000, 0.3207, 0.1603)  6 Sm 3.34-3.56, 2 Pm 3.58, 2 Nd 3.64
Nd (0.5000, 0.8397, 0.1603)  6 Sm 3.34-3.56, 2 Pm 3.58, 2 Nd 3.64
Nd (0.0000, 0.3333, 0.6667)  9 Sm 3.40-3.70, 2 Nd 3.64
Sm (0.0000, 0.5258, 0.0517)  5 Nd 3.56-3.70, 6 Sm 3.64-3.82
Sm (0.5000, 0.6318, 0.8159)  4 Nd 3.34-3.40, 2 Sm 3.64
Sm (0.0000, 0.5258, 0.4742)  5 Nd 3.56-3.70, 6 Sm 3.64-3.82
Sm (0.0000, 0.9483, 0.4742)  5 Nd 3.56-3.70, 6 Sm 3.64-3.82
Sm (0.5000, 0.1841, 0.8159)  4 Nd 3.34-3.40, 2 Sm 3.64
Sm (0.5000, 0.1841, 0.3682)  4 Nd 3.34-3.40, 2 Sm 3.64

Most stable: version b